# 1
The following is a DFT calculation (PBE-GGA) of a geometry-optimized Fe3SI structure.

Calculated values
Formation energy without anion corrections = 1497 meV/atom
SG = Pm-3m, No. 221
Energy above the lowest structure with this stoichiometry = 1.015 eV per atom

Cell lengths 4.793, 4.793, 4.793 Å; angles 90.00, 90.00, 90.00 degrees
Each line ends with the local moment (μB).
Sites, in units of the cell vectors:
I 0.000 0.000 0.000  -0.03
S 0.500 0.500 0.500  0.39
Fe 0.000 0.500 0.000  2.84
Fe 0.000 0.000 0.500  2.55
Fe 0.500 0.000 0.000  3.01

=====

# 2
The following is a DFT calculation (PBE-GGA) of a geometry-optimized Al2PBr structure.

Calculated values
Formation energy without anion corrections = 51 meV/atom
SG = Cmm2, No. 35
Energy above the lowest structure with this stoichiometry = 0.314 eV per atom

Cell lengths 3.203, 3.203, 9.282 Å; angles 90.00, 90.00, 109.59 degrees
Sites, in units of the cell vectors:
P 0.500 0.500 0.841
Al 0.000 0.000 0.002
Al 0.500 0.500 0.230
Br 0.000 0.000 0.427

=====

# 3
The following is a DFT calculation (PBE-GGA) of a geometry-optimized RbSe2Cl8 structure.

Calculated values
Formation energy without anion corrections = -617 meV/atom
SG = P-1, No. 2

Cell lengths 5.202, 7.500, 10.711 Å; angles 113.32, 104.02, 90.07 degrees
Sites, in units of the cell vectors:
Rb 0.000 0.000 0.000
Se 0.398 0.466 0.795
Se 0.602 0.534 0.205
Cl 0.094 0.526 0.190
Cl 0.906 0.474 0.810
Cl 0.530 0.760 0.060
Cl 0.296 0.206 0.591
Cl 0.353 0.693 0.705
Cl 0.470 0.240 0.940
Cl 0.704 0.794 0.409
Cl 0.647 0.307 0.295

=====

# 4
The following is a DFT calculation (PBE-GGA) of a geometry-optimized Tb2Sm6Y3Mg structure.

Calculated values
SG = C2/m, No. 12
Energy of formation from the pure elements = 2 kJ/mol of atoms

Cell lengths 6.209, 6.209, 11.778 Å; angles 95.06, 95.06, 120.03 degrees
Sites, in units of the cell vectors:
Tb 0.333 0.667 0.000
Tb 0.667 0.333 0.000
Sm 0.918 0.585 0.752
Sm 0.750 0.750 0.249
Sm 0.082 0.415 0.248
Sm 0.585 0.918 0.752
Sm 0.250 0.250 0.751
Sm 0.415 0.082 0.248
Y 0.166 0.834 0.500
Y 0.834 0.166 0.500
Y 0.500 0.500 0.500
Mg 0.000 0.000 0.000

=====

# 5
The following is a DFT calculation (PBE-GGA) of a geometry-optimized AcPm5Dy2 structure.

Calculated values
SG = C2/c, No. 15
Energy of formation from the pure elements = 14 kJ/mol of atoms
Energy above the lowest structure with this stoichiometry = 0.115 eV per atom

Cell lengths 9.800, 7.100, 11.889 Å; angles 126.57, 114.34, 90.00 degrees
Sites, in units of the cell vectors:
Ac 0.000 0.000 0.500
Ac 0.500 0.500 0.500
Pm 0.355 0.463 0.711
Pm 0.000 0.750 0.000
Pm 0.000 0.250 0.000
Pm 0.959 0.655 0.656
Pm 0.041 0.345 0.344
Pm 0.696 0.155 0.656
Pm 0.304 0.845 0.344
Pm 0.645 0.537 0.289
Pm 0.356 0.963 0.711
Pm 0.644 0.037 0.289
Dy 0.299 0.477 0.977
Dy 0.678 0.977 0.977
Dy 0.701 0.523 0.023
Dy 0.322 0.023 0.023

=====

# 6
The following is a DFT calculation (PBE-GGA) of a geometry-optimized Ho4GaPb structure.

Calculated values
SG = P4/mmm, No. 123
Energy of formation from the pure elements = -22 kJ/mol of atoms

Cell lengths 5.030, 5.030, 7.194 Å; angles 89.98, 89.99, 90.00 degrees
Sites, in units of the cell vectors:
Ho 0.501 0.997 0.266
Ho 0.501 0.997 0.730
Ho 0.001 0.497 0.730
Ho 0.001 0.497 0.266
Ga 0.001 0.997 0.498
Pb 0.501 0.497 0.998

=====

# 7
The following is a DFT calculation (PBE-GGA) of a geometry-optimized RbNa2Ge2 structure.

Calculated values
SG = I4/mmm, No. 139
Energy of formation from the pure elements = -7 kJ/mol of atoms
Energy above the lowest structure with this stoichiometry = 0.006 eV per atom

Cell lengths 5.487, 5.487, 6.466 Å; angles 64.89, 64.89, 90.00 degrees
Sites, in units of the cell vectors:
Na 0.750 0.250 0.500
Na 0.250 0.750 0.500
Ge 0.388 0.388 0.225
Ge 0.612 0.612 0.775
Rb 0.000 0.000 0.000

=====

# 8
The following is a DFT calculation (PBE-GGA) of a geometry-optimized Ba2ZnB2O6 structure.

Calculated values
Formation energy without anion corrections = -2523 meV/atom
SG = Pca2_1, No. 29

Cell lengths 8.864, 10.273, 15.269 Å; angles 90.00, 90.00, 90.00 degrees
Sites, in units of the cell vectors:
Ba 0.139 0.625 0.385
Ba 0.139 0.125 0.115
Ba 0.210 0.679 0.113
Ba 0.790 0.179 0.887
Ba 0.689 0.416 0.099
Ba 0.861 0.125 0.615
Ba 0.674 0.890 0.117
Ba 0.790 0.679 0.613
Ba 0.674 0.390 0.383
Ba 0.311 0.416 0.599
Ba 0.326 0.390 0.883
Ba 0.311 0.916 0.901
Ba 0.689 0.916 0.401
Ba 0.861 0.625 0.885
Ba 0.326 0.890 0.617
Ba 0.210 0.179 0.387
Zn 0.509 0.651 0.288
Zn 0.012 0.902 0.275
Zn 0.988 0.902 0.775
Zn 0.012 0.402 0.225
Zn 0.988 0.402 0.725
Zn 0.491 0.151 0.712
Zn 0.491 0.651 0.788
Zn 0.509 0.151 0.212
B 0.653 0.911 0.765
B 0.554 0.174 0.514
B 0.843 0.158 0.251
B 0.991 0.919 0.984
B 0.554 0.674 0.986
B 0.157 0.158 0.751
B 0.157 0.658 0.749
B 0.347 0.411 0.235
B 0.991 0.419 0.516
B 0.009 0.919 0.484
B 0.446 0.174 0.014
B 0.009 0.419 0.016
B 0.446 0.674 0.486
B 0.843 0.658 0.249
B 0.347 0.911 0.265
B 0.653 0.411 0.735
O 0.655 0.776 0.765
O 0.345 0.776 0.265
O 0.480 0.981 0.274
O 0.993 0.360 0.099
O 0.291 0.226 0.737
O 0.529 0.596 0.911
O 0.788 0.480 0.745
O 0.520 0.981 0.774
O 0.691 0.159 0.470
O 0.106 0.893 0.043
O 0.480 0.481 0.226
O 0.127 0.001 0.504
O 0.471 0.596 0.411
O 0.529 0.096 0.589
O 0.309 0.159 0.970
O 0.027 0.226 0.772
O 0.520 0.481 0.726
O 0.448 0.263 0.484
O 0.448 0.763 0.016
O 0.309 0.659 0.530
O 0.007 0.360 0.599
O 0.471 0.096 0.089
O 0.212 0.980 0.255
O 0.894 0.393 0.957
O 0.127 0.501 0.996
O 0.027 0.726 0.728
O 0.345 0.276 0.235
O 0.788 0.980 0.755
O 0.873 0.001 0.004
O 0.007 0.860 0.901
O 0.873 0.501 0.496
O 0.709 0.726 0.263
O 0.691 0.659 0.030
O 0.552 0.263 0.984
O 0.993 0.860 0.401
O 0.894 0.893 0.543
O 0.212 0.480 0.245
O 0.709 0.226 0.237
O 0.846 0.023 0.244
O 0.154 0.523 0.756
O 0.846 0.523 0.256
O 0.291 0.726 0.763
O 0.154 0.023 0.744
O 0.973 0.226 0.272
O 0.106 0.393 0.457
O 0.552 0.763 0.516
O 0.973 0.726 0.228
O 0.655 0.276 0.735

=====

# 9
The following is a DFT calculation (PBE-GGA) of a geometry-optimized Sm2MgBi structure.

Calculated values
SG = R-3m, No. 166
Energy of formation from the pure elements = -27 kJ/mol of atoms
Energy above the lowest structure with this stoichiometry = 0.178 eV per atom

Cell lengths 4.383, 4.383, 8.456 Å; angles 74.98, 74.98, 60.00 degrees
Sites, in units of the cell vectors:
Mg 0.500 0.500 0.500
Bi 0.000 0.000 0.000
Sm 0.256 0.256 0.231
Sm 0.744 0.744 0.769

=====

# 10
The following is a DFT calculation (PBE-GGA) of a geometry-optimized Er2LuPt structure.

Calculated values
SG = P4/mmm, No. 123
Energy of formation from the pure elements = -58 kJ/mol of atoms
Energy above the lowest structure with this stoichiometry = 0.000 eV per atom

Cell lengths 3.536, 3.536, 8.204 Å; angles 90.00, 90.00, 90.00 degrees
Sites, in units of the cell vectors:
Lu 0.500 0.500 0.500
Pt 0.500 0.500 0.000
Er 0.000 0.000 0.801
Er 0.000 0.000 0.199

=====

# 11
The following is a DFT calculation (PBE-GGA) of a geometry-optimized RbRe2Au structure.

Calculated values
SG = Fm-3m, No. 225
Energy of formation from the pure elements = 221 kJ/mol of atoms
Energy above the lowest structure with this stoichiometry = 0.766 eV per atom

Cell lengths 4.692, 4.692, 4.692 Å; angles 60.00, 60.00, 60.00 degrees
Sites, in units of the cell vectors:
Re 0.250 0.250 0.250
Re 0.750 0.750 0.750
Au 0.500 0.500 0.500
Rb 0.000 0.000 0.000

=====

# 12
The following is a DFT calculation (PBE-GGA) of a geometry-optimized NaBiIN2 structure.

Calculated values
Formation energy without anion corrections = 921 meV/atom
SG = P4/mmm, No. 123
Energy above the lowest structure with this stoichiometry = 0.000 eV per atom

Cell lengths 4.459, 4.459, 6.979 Å; angles 90.00, 90.00, 90.00 degrees
Each line ends with the local moment (μB).
Sites, in units of the cell vectors:
I 0.000 0.000 0.500  -0.01
Na 0.500 0.500 0.500  0.00
Bi 0.000 0.000 0.000  -0.09
N 0.000 0.500 0.000  0.70
N 0.500 0.000 0.000  0.70